PmTl2SbSe4: optimized geometry, PBE.

Results
DOS(E_F) in states/eV per cell: 0.209
Density in g cm⁻³: 6.85
Formation energy (no corrections) in kJ/mol of atoms: -81.4

Lattice parameters (Å, degrees): 8.7960 8.7960 8.7647 119.89 119.89 90.10
Fractional positions:
Se1 0.2412 0.7114 0.4763
Pm1 0.0000 0.5000 0.5000
Se2 0.2114 0.7412 0.9763
Se3 0.2387 0.2612 0.0260
Sb1 0.5000 0.5000 0.5000
Tl1 0.0000 0.0000 0.5000
Sb2 0.0000 0.0000 0.0000
Tl2 0.5000 0.0000 0.5000
Pm2 0.0000 0.5000 0.0000
Se4 0.7886 0.2588 0.0237
Se5 0.7588 0.2886 0.5237
Tl3 0.5000 0.5000 0.0000
Tl4 0.5000 0.0000 0.0000
Se6 0.2388 0.2613 0.4740
Se7 0.7613 0.7388 0.9740
Se8 0.7612 0.7387 0.5260